Entry from Alexandria via LeMat-Bulk: TaAg3H after structural relaxation (PBEsol).

Summary:
The value obtained for the density of states at the Fermi level is 4.83 states/eV per cell. The raw total energy comes out at -4.4447 eV per atom.

abc: 4.1442 4.1442 4.1442
angles: 90.00 90.00 90.00
Positions (direct):
Ta (0.0000, 0.0000, 0.0000)
Ag (0.0000, 0.5000, 0.5000)
Ag (0.5000, 0.0000, 0.5000)
Ag (0.5000, 0.5000, 0.0000)
H (0.5000, 0.5000, 0.5000)